Here is YV3Pt after structural relaxation from the Alexandria database. Energies are from GGA-PBE.

- Energy above the lowest structure with this stoichiometry: 0 meV per atom
- Uncorrected energy: -7.3350 eV per atom
- Total magnetization: 4.32 Bohr magnetons per cell
- Energy relative to the elements: 0.64 eV per atom
- Density: 6707 kg/m³

Lattice parameters (Å, degrees): 4.764 4.764 4.764 90.00 90.00 90.00
Space group Pm-3m (No. 221)
Asymmetric unit:
Y 0.000 0.000 0.000 (multiplicity 1)
V 0.000 0.500 0.500 (multiplicity 3)
Pt 0.500 0.500 0.500 (multiplicity 1)